[1]
B7C5 (PBE, optimized geometry); crystal system = monoclinic
1.0
-0.343 1.921 -1.702
-0.953 -3.155 -3.369
-8.409 -1.726 -0.255
B C
7 5
direct
0.000 0.016 0.992
0.500 0.824 0.112
0.500 0.553 0.522
0.000 0.273 0.632
0.000 0.962 0.202
0.500 0.685 0.314
0.500 0.432 0.742
0.500 0.443 0.206
0.000 0.291 0.207
0.000 0.268 0.824
0.000 0.951 0.623
0.500 0.801 0.625



[2]
BC (PBE, optimized geometry); crystal system = monoclinic
1.0
4.478 0.112 -5.939
0.121 2.660 -6.839
-0.292 -0.101 7.333
B C
6 6
direct
0.990 0.347 0.643
0.560 0.174 0.386
0.110 0.109 0.001
0.564 0.846 0.718
0.135 0.784 0.351
0.960 0.667 0.294
0.597 0.289 0.308
0.999 0.997 0.002
0.630 0.963 0.667
0.581 0.614 0.967
0.496 0.500 0.996
0.128 0.461 0.666



[3]
B7C5 (PBE, optimized geometry); crystal system = monoclinic
1.0
-1.756 -1.775 1.115
-0.514 -2.241 -4.375
4.804 -2.979 2.821
B C
7 5
direct
0.500 0.693 0.324
0.500 0.343 0.280
0.500 0.637 0.013
0.000 0.787 0.696
0.000 0.229 0.559
0.000 0.847 0.200
0.000 0.159 0.004
0.500 0.290 0.931
0.000 0.189 0.297
0.000 0.787 0.939
0.500 0.202 0.674
0.500 0.836 0.583



[4]
BC (PBE, optimized geometry); crystal system = monoclinic
1.0
-4.701 -3.977 0.146
-3.836 -4.015 2.664
-2.259 4.829 0.849
B C
6 6
direct
0.002 0.002 0.993
0.360 0.360 0.098
0.217 0.217 0.442
0.978 0.978 0.486
0.593 0.593 0.552
0.347 0.347 0.702
0.918 0.918 0.194
0.915 0.915 0.699
0.664 0.664 0.330
0.242 0.242 0.856
0.669 0.669 0.850
0.595 0.595 0.047



[5]
BC (PBE, optimized geometry); crystal system = trigonal
1.0
2.648 0.000 0.000
-1.324 2.293 0.000
0.000 0.000 20.534
B C
6 6
direct
0.000 0.000 0.795
0.333 0.667 0.663
0.667 0.333 0.713
0.667 0.333 0.382
0.000 0.000 0.581
0.333 0.667 0.192
0.667 0.333 0.789
0.000 0.000 0.382
0.333 0.667 0.587
0.667 0.333 0.192
0.000 0.000 0.987
0.333 0.667 0.987



[6]
BC (PBE, optimized geometry); crystal system = trigonal
1.0
-10.928 2.671 5.144
-10.853 0.074 5.933
-9.671 1.988 7.452
B C
5 5
direct
0.130 0.130 0.130
0.940 0.940 0.940
0.399 0.399 0.399
0.216 0.216 0.216
0.016 0.016 0.016
0.792 0.792 0.792
0.601 0.601 0.601
0.749 0.749 0.749
0.554 0.554 0.554
0.353 0.353 0.353



[7]
B3C2 (PBE, optimized geometry); crystal system = trigonal
1.0
13.031 -1.333 0.150
13.031 1.333 0.150
12.868 0.000 2.453
B C
6 4
direct
0.874 0.874 0.874
0.394 0.394 0.394
0.611 0.611 0.611
0.252 0.252 0.252
0.775 0.775 0.775
0.002 0.002 0.002
0.211 0.211 0.211
0.043 0.043 0.043
0.437 0.437 0.437
0.651 0.651 0.651



[8]
BC (PBE, optimized geometry); crystal system = monoclinic
1.0
-1.960 -1.671 -0.062
2.878 -3.309 -1.791
1.142 -1.585 6.621
B C
6 6
direct
0.500 0.860 0.371
0.500 0.399 0.239
0.500 0.201 0.888
0.000 0.684 0.622
0.000 0.991 0.234
0.000 0.975 0.969
0.500 0.509 0.025
0.000 0.339 0.574
0.000 0.326 0.344
0.000 0.666 0.995
0.500 0.195 0.649
0.500 0.856 0.590



[9]
BC (PBE, optimized geometry); crystal system = orthorhombic
1.0
-0.381 2.438 -0.661
-2.320 -0.207 0.575
2.680 3.714 12.146
B C
6 6
direct
0.500 0.500 0.854
0.500 0.500 0.488
0.000 0.000 0.651
0.000 0.500 0.757
0.500 0.500 0.159
0.000 0.000 0.324
0.500 0.000 0.943
0.500 0.000 0.577
0.500 0.000 0.245
0.000 0.500 0.411
0.000 0.000 0.010
0.000 0.500 0.080



[10]
B7C5 (PBE, optimized geometry); crystal system = monoclinic
1.0
3.511 -0.040 -5.401
-1.125 2.610 -7.096
0.956 -0.083 7.584
B C
7 5
direct
0.956 0.337 0.618
0.598 0.169 0.429
0.170 0.132 0.037
0.586 0.954 0.632
0.451 0.796 0.655
0.174 0.821 0.353
0.032 0.681 0.351
0.561 0.266 0.295
0.998 0.999 0.000
0.656 0.624 0.032
0.471 0.507 0.964
0.098 0.464 0.634



[11]
B3C (PBE, optimized geometry); crystal system = monoclinic
1.0
1.342 5.545 -0.113
-1.342 5.545 -0.113
0.000 1.118 5.831
B C
9 3
direct
0.073 0.073 0.218
0.702 0.702 0.182
0.791 0.791 0.434
0.986 0.986 0.495
0.062 0.062 0.726
0.302 0.302 0.247
0.411 0.411 0.397
0.684 0.684 0.680
0.305 0.305 0.939
0.002 0.002 0.997
0.752 0.752 0.885
0.430 0.430 0.050



[12]
BC (PBE, optimized geometry); crystal system = orthorhombic
1.0
-1.040 -4.715 2.900
8.003 -2.329 -0.917
1.275 2.563 4.624
B C
16 16
direct
0.000 0.829 0.000
0.000 0.171 0.000
0.250 0.921 0.250
0.250 0.579 0.250
0.000 0.329 0.500
0.000 0.671 0.500
0.250 0.421 0.750
0.250 0.079 0.750
0.500 0.829 0.500
0.500 0.171 0.500
0.750 0.921 0.750
0.750 0.579 0.750
0.500 0.329 0.000
0.500 0.671 0.000
0.750 0.421 0.250
0.750 0.079 0.250
0.148 0.000 0.000
0.852 0.000 0.000
0.102 0.750 0.250
0.398 0.750 0.250
0.148 0.500 0.500
0.852 0.500 0.500
0.102 0.250 0.750
0.398 0.250 0.750
0.648 0.000 0.500
0.352 0.000 0.500
0.602 0.750 0.750
0.898 0.750 0.750
0.648 0.500 0.000
0.352 0.500 0.000
0.602 0.250 0.250
0.898 0.250 0.250



no.,uncorrected energy (eV/atom),volume (Å³/f.u.),ΔE_f (eV/atom)
1,-7.467,98,0.2718
2,-7.500,13,0.4509
3,-7.442,82,0.2963
4,-7.609,14,0.3415
5,-7.598,21,0.3522
6,-7.641,16,0.3094
7,-7.380,40,0.3161
8,-7.544,14,0.4070
9,-7.539,13,0.4120
10,-7.354,80,0.3840
11,-6.822,29,0.4920
12,-7.476,16,0.4749